Here is SrLaIn after structural relaxation from Alexandria via LeMat-Bulk. Energies are from GGA-PBE.

Cell lengths 8.0367, 8.0368, 3.8471 Å; angles 76.15, 76.15, 27.70 degrees
Positions (direct):
In: 0.0063 0.0063 0.9937
La: 0.6371 0.6371 0.3629
Sr: 0.3567 0.3567 0.6433

## Properties
Total magnetization ... 0.002 μB per formula unit
Fermi-level density of states ... 1.4817 states/eV/atom
Excess energy over the best structure of this formula in the dataset ... 34 kJ/mol of formula units

---

Here is Sr2LaIn after structural relaxation from Alexandria via LeMat-Bulk. Energies are from GGA-PBE.

Cell lengths 7.2863, 7.2863, 5.8993 Å; angles 66.14, 66.14, 33.58 degrees
Positions (direct):
In: 0.2500 0.2500 0.2500
La: 0.7500 0.7500 0.7500
Sr: 0.9631 0.9631 0.0369
Sr: 0.5369 0.5369 0.4631

## Properties
E_tot ... -11.484 eV per cell
Total magnetization ... 0.099 μB per formula unit
Fermi-level density of states ... 1.5126 states/eV/atom

---

Here is SrLaIn2 after structural relaxation from Alexandria via LeMat-Bulk. Energies are from GGA-PBE.

Cell lengths 6.7538, 6.7538, 6.7538 Å; angles 145.35, 132.25, 60.33 degrees
Positions (direct):
In: 0.9706 0.9706 0.0000
In: 0.7785 0.2785 0.5000
La: 0.5158 0.5158 0.0000
Sr: 0.2351 0.7351 0.5000

## Properties
E_tot ... -13.567 eV per cell
Total magnetization ... 0.003 μB per formula unit
Fermi-level density of states ... 1.2109 states/eV/atom

---

Here is SrLaIn after structural relaxation from Alexandria via LeMat-Bulk. Energies are from GGA-PBE.

Cell lengths 4.1056, 5.7974, 9.2808 Å; angles 90.00, 77.22, 90.00 degrees
Positions (direct):
Sr: 0.4990 0.9850 0.3616
Sr: 0.8003 0.9848 0.7600
La: 0.9485 0.4849 0.4623
La: 0.6487 0.4854 0.0623
In: 0.1423 0.9855 0.0751
In: 0.3036 0.4847 0.7526

## Properties
Total magnetization ... 0.000 μB per formula unit
Fermi-level density of states ... 0.8212 states/eV/atom
Excess energy over the best structure of this formula in the dataset ... 36 kJ/mol of formula units

---

Here is SrLaIn after structural relaxation from Alexandria via LeMat-Bulk. Energies are from GGA-PBE.

Cell lengths 5.5610, 5.5610, 3.9193 Å; angles 90.00, 90.00, 120.00 degrees
Positions (direct):
In: 0.0000 0.0000 0.0307
La: 0.6667 0.3333 0.2769
Sr: 0.3333 0.6667 0.6924

## Properties
Total magnetization ... 0.000 μB per formula unit
Fermi-level density of states ... 0.7221 states/eV/atom
Excess energy over the best structure of this formula in the dataset ... 52 kJ/mol of formula units

---

Here is SrLaIn2 after structural relaxation from Alexandria via LeMat-Bulk. Energies are from GGA-PBE.

Cell lengths 3.8120, 3.8120, 9.3912 Å; angles 90.00, 90.00, 89.98 degrees
Positions (direct):
In: 0.0000 0.0000 0.0438
In: 0.5000 0.5000 0.2201
La: 0.0000 0.0000 0.4425
Sr: 0.5000 0.5000 0.7937

## Properties
E_tot ... -12.895 eV per cell
Total magnetization ... 0.000 μB per formula unit
Fermi-level density of states ... 0.9729 states/eV/atom

---

Here is SrLaIn after structural relaxation from Alexandria via LeMat-Bulk. Energies are from GGA-PBE.

Cell lengths 3.9934, 7.2024, 8.3895 Å; angles 95.21, 103.79, 106.10 degrees
Site moments in Bohr magnetons follow the coordinates.
Positions (direct):
Sr: 0.4924 0.1585 0.8550  0.04
Sr: 0.1534 0.0624 0.2738  0.02
La: 0.2810 0.6394 0.9530  0.16
La: 0.6293 0.7205 0.5674  0.14
In: 0.8601 0.5036 0.2467  -0.01
In: 0.9375 0.3260 0.5780  0.01

## Properties
Total magnetization ... 0.522 μB per formula unit
Fermi-level density of states ... 1.0566 states/eV/atom
Excess energy over the best structure of this formula in the dataset ... 41 kJ/mol of formula units

---

Here is SrLaIn4 after structural relaxation from Alexandria via LeMat-Bulk. Energies are from GGA-PBE.

Cell lengths 4.9157, 6.5170, 6.5170 Å; angles 73.87, 67.84, 67.84 degrees
Positions (direct):
Sr: 0.5546 0.4454 0.4454
La: 0.4493 0.0507 0.0507
In: 0.1600 0.6421 0.0379
In: 0.8381 0.8597 0.4642
In: 0.8381 0.4642 0.8597
In: 0.1600 0.0379 0.6421

## Properties
Total magnetization ... 0.000 μB per formula unit
Fermi-level density of states ... 0.6206 states/eV/atom
Excess energy over the best structure of this formula in the dataset ... 0 kJ/mol of formula units

---

Here is SrLaIn after structural relaxation from Alexandria via LeMat-Bulk. Energies are from GGA-PBE.

Cell lengths 4.0533, 5.7966, 9.5100 Å; angles 90.08, 77.67, 90.00 degrees
Positions (direct):
Sr: 0.5239 0.9856 0.4692
Sr: 0.3828 0.4863 0.7539
La: 0.0896 0.4851 0.3380
La: 0.2230 0.9838 0.0710
In: 0.7275 0.4829 0.0629
In: 0.8697 0.9866 0.7789

## Properties
Total magnetization ... 0.000 μB per formula unit
Fermi-level density of states ... 1.0465 states/eV/atom
Excess energy over the best structure of this formula in the dataset ... 35 kJ/mol of formula units

---

Here is Sr2LaIn after structural relaxation from Alexandria via LeMat-Bulk. Energies are from GGA-PBE.

Cell lengths 3.8214, 3.8214, 10.7363 Å; angles 90.00, 90.00, 90.00 degrees
Positions (direct):
In: 0.5000 0.5000 0.2500
La: 0.5000 0.5000 0.7500
Sr: 0.0000 0.0000 0.0408
Sr: 0.0000 0.0000 0.4592

## Properties
E_tot ... -11.505 eV per cell
Total magnetization ... 0.000 μB per formula unit
Fermi-level density of states ... 1.0795 states/eV/atom

---

Here is SrLaIn after structural relaxation from Alexandria via LeMat-Bulk. Energies are from GGA-PBE.

Cell lengths 5.4461, 7.6170, 6.6083 Å; angles 61.48, 65.64, 69.06 degrees
Positions (direct):
Sr: 0.7357 0.0301 0.7645
Sr: 0.3768 0.2037 0.3091
La: 0.1147 0.7538 0.2822
La: 0.4689 0.5990 0.7299
In: 0.7790 0.5369 0.1710
In: 0.0581 0.2869 0.8634

## Properties
Total magnetization ... 0.000 μB per formula unit
Fermi-level density of states ... 0.3495 states/eV/atom
Excess energy over the best structure of this formula in the dataset ... 31 kJ/mol of formula units

---

Here is SrLaIn4 after structural relaxation from Alexandria via LeMat-Bulk. Energies are from GGA-PBE.

Cell lengths 6.2236, 6.2236, 6.2236 Å; angles 60.00, 60.00, 60.00 degrees
Positions (direct):
Sr: 0.0000 0.0000 0.0000
La: 0.7500 0.7500 0.7500
In: 0.8743 0.3752 0.3752
In: 0.3752 0.3752 0.8743
In: 0.3752 0.8743 0.3752
In: 0.3752 0.3752 0.3752

## Properties
Total magnetization ... 0.000 μB per formula unit
Fermi-level density of states ... 0.6201 states/eV/atom
Excess energy over the best structure of this formula in the dataset ... 26 kJ/mol of formula units

---

Here is SrLa6In5 after structural relaxation from Alexandria via LeMat-Bulk. Energies are from GGA-PBE.

Cell lengths 5.7108, 7.8445, 9.9213 Å; angles 113.29, 106.73, 90.00 degrees
Positions (direct):
Sr: 0.0000 0.0000 0.0000
In: 0.3513 0.8513 0.7026
In: 0.6676 0.6676 0.3352
In: 0.0000 0.5000 0.0000
In: 0.3324 0.3324 0.6648
In: 0.6487 0.1487 0.2974
La: 0.1779 0.4365 0.3558
La: 0.1779 0.9194 0.3558
La: 0.5000 0.2768 0.0000
La: 0.5000 0.7232 0.0000
La: 0.8221 0.0806 0.6442
La: 0.8221 0.5635 0.6442

## Properties
E_tot ... -49.673 eV per cell
Total magnetization ... 0.000 μB per formula unit
Fermi-level density of states ... 0.9451 states/eV/atom

---

Here is SrLaIn after structural relaxation from Alexandria via LeMat-Bulk. Energies are from GGA-PBE.

Cell lengths 5.4661, 5.4661, 8.1701 Å; angles 90.00, 90.00, 90.00 degrees
Positions (direct):
Sr: 0.0000 0.5000 0.8019
Sr: 0.5000 0.0000 0.1981
In: 0.0000 0.0000 0.5000
In: 0.5000 0.5000 0.5000
La: 0.0000 0.5000 0.3005
La: 0.5000 0.0000 0.6995

## Properties
Total magnetization ... 0.000 μB per formula unit
Fermi-level density of states ... 0.6298 states/eV/atom
Excess energy over the best structure of this formula in the dataset ... 56 kJ/mol of formula units

---

Here is SrLaIn6 after structural relaxation from Alexandria via LeMat-Bulk. Energies are from GGA-PBE.

Cell lengths 5.0214, 6.7046, 6.7715 Å; angles 90.00, 90.00, 90.00 degrees
Positions (direct):
Sr: 0.0000 0.6150 0.0000
La: 0.5000 0.3866 0.5000
In: 0.5000 0.8571 0.2498
In: 0.0000 0.1462 0.7393
In: 0.0000 0.1462 0.2607
In: 0.5000 0.8571 0.7502
In: 0.0000 0.7262 0.5000
In: 0.5000 0.2657 0.0000

## Properties
E_tot ... -25.950 eV per cell
Total magnetization ... 0.000 μB per formula unit
Fermi-level density of states ... 0.4907 states/eV/atom

---

Here is Sr2LaIn after structural relaxation from Alexandria via LeMat-Bulk. Energies are from GGA-PBE.

Cell lengths 5.1990, 5.1936, 5.5469 Å; angles 90.00, 90.00, 90.00 degrees
Positions (direct):
In: 0.5000 0.0000 0.5000
La: 0.0000 0.5000 0.5000
Sr: 0.0000 0.0000 0.0000
Sr: 0.5000 0.5000 0.0000

## Properties
E_tot ... -11.608 eV per cell
Total magnetization ... 0.000 μB per formula unit
Fermi-level density of states ... 0.5962 states/eV/atom

---

Here is Sr2LaIn after structural relaxation from Alexandria via LeMat-Bulk. Energies are from GGA-PBE.

Cell lengths 6.4467, 8.4282, 3.9528 Å; angles 61.99, 90.02, 120.65 degrees
Positions (direct):
In: 0.5000 0.5000 0.0000
La: 0.5000 0.0000 0.5000
Sr: 0.0000 0.0000 0.0000
Sr: 0.0000 0.5000 0.5000

## Properties
E_tot ... -11.166 eV per cell
Total magnetization ... 0.000 μB per formula unit
Fermi-level density of states ... 0.9541 states/eV/atom

---

Here is SrLaIn after structural relaxation from Alexandria via LeMat-Bulk. Energies are from GGA-PBE.

Cell lengths 5.4822, 5.4821, 8.6997 Å; angles 90.00, 90.00, 60.00 degrees
Positions (direct):
Sr: 0.6667 0.1667 0.3628
Sr: 0.3333 0.8333 0.6372
La: 0.6667 0.1667 0.9090
La: 0.3333 0.8333 0.0910
In: 0.0000 0.5000 0.8161
In: 0.0000 0.5000 0.1839

## Properties
Total magnetization ... 0.000 μB per formula unit
Fermi-level density of states ... 0.3461 states/eV/atom
Excess energy over the best structure of this formula in the dataset ... 31 kJ/mol of formula units

---

Here is Sr2LaIn after structural relaxation from Alexandria via LeMat-Bulk. Energies are from GGA-PBE.

Cell lengths 6.3016, 6.3016, 6.3016 Å; angles 128.67, 128.67, 75.54 degrees
Positions (direct):
In: 0.5000 0.5000 0.0000
La: 0.7500 0.2500 0.5000
Sr: 0.0000 0.0000 0.0000
Sr: 0.2500 0.7500 0.5000

## Properties
E_tot ... -11.419 eV per cell
Total magnetization ... 0.000 μB per formula unit
Fermi-level density of states ... 0.7846 states/eV/atom

---

Here is SrLa2In6 after structural relaxation from Alexandria via LeMat-Bulk. Energies are from GGA-PBE.

Cell lengths 3.8707, 8.7997, 8.7997 Å; angles 120.00, 90.00, 90.00 degrees
Positions (direct):
Sr: 0.0000 0.0000 0.0000
La: 0.0000 0.3333 0.6667
La: 0.0000 0.6667 0.3333
In: 0.5000 0.3349 0.3349
In: 0.5000 0.6651 0.6651
In: 0.5000 0.0000 0.6651
In: 0.5000 0.6651 0.0000
In: 0.5000 0.3349 0.0000
In: 0.5000 0.0000 0.3349

## Properties
E_tot ... -32.111 eV per cell
Total magnetization ... 0.000 μB per formula unit
Fermi-level density of states ... 0.6093 states/eV/atom

---

Here is SrLaIn after structural relaxation from Alexandria via LeMat-Bulk. Energies are from GGA-PBE.

Cell lengths 4.1052, 9.3673, 5.7380 Å; angles 90.00, 90.00, 77.32 degrees
Positions (direct):
Sr: 0.2317 0.9189 0.4273
Sr: 0.0828 0.2179 0.9274
La: 0.3851 0.6133 0.9270
La: 0.9294 0.5235 0.4271
In: 0.7438 0.8956 0.9273
In: 0.5707 0.2411 0.4275

## Properties
Total magnetization ... 0.000 μB per formula unit
Fermi-level density of states ... 0.9919 states/eV/atom
Excess energy over the best structure of this formula in the dataset ... 24 kJ/mol of formula units

---

Here is SrLaIn2 after structural relaxation from Alexandria via LeMat-Bulk. Energies are from GGA-PBE.

Cell lengths 5.6833, 5.6833, 3.9920 Å; angles 90.00, 90.00, 90.00 degrees
Positions (direct):
Sr: 0.0000 0.5000 0.5000
In: 0.0000 0.0000 0.0000
In: 0.5000 0.5000 0.0000
La: 0.5000 0.0000 0.5000

## Properties
E_tot ... -13.915 eV per cell
Total magnetization ... 0.000 μB per formula unit
Fermi-level density of states ... 0.8256 states/eV/atom

---

Here is SrLaIn after structural relaxation from Alexandria via LeMat-Bulk. Energies are from GGA-PBE.

Cell lengths 4.0461, 4.0510, 14.0250 Å; angles 73.21, 90.01, 90.00 degrees
Positions (direct):
Sr: 0.3474 0.9377 0.2816
Sr: 0.8480 0.6912 0.0300
La: 0.8479 0.9824 0.7394
La: 0.3475 0.6466 0.5723
In: 0.3481 0.3503 0.8716
In: 0.8475 0.2784 0.4401

## Properties
Total magnetization ... 0.000 μB per formula unit
Fermi-level density of states ... 1.0534 states/eV/atom
Excess energy over the best structure of this formula in the dataset ... 18 kJ/mol of formula units

---

Here is SrLaIn2 after structural relaxation from Alexandria via LeMat-Bulk. Energies are from GGA-PBE.

Cell lengths 8.8519, 8.8519, 7.2721 Å; angles 52.51, 52.51, 90.00 degrees
Positions (direct):
Sr: 0.5000 0.5000 0.0000
Sr: 0.2500 0.7500 0.5000
In: 0.6319 0.1250 0.2500
In: 0.1181 0.6250 0.2500
In: 0.3750 0.3681 0.7500
In: 0.8750 0.8819 0.7500
La: 0.0000 0.0000 0.0000
La: 0.7500 0.2500 0.5000

## Properties
E_tot ... -24.857 eV per cell
Total magnetization ... 0.000 μB per formula unit
Fermi-level density of states ... 0.9230 states/eV/atom

---

Here is SrLaIn after structural relaxation from Alexandria via LeMat-Bulk. Energies are from GGA-PBE.

Cell lengths 5.5754, 5.5754, 5.5754 Å; angles 60.00, 60.00, 60.00 degrees
Positions (direct):
In: 0.7500 0.7500 0.7500
La: 0.0000 0.0000 0.0000
Sr: 0.5000 0.5000 0.5000

## Properties
Total magnetization ... 0.002 μB per formula unit
Fermi-level density of states ... 1.0966 states/eV/atom
Excess energy over the best structure of this formula in the dataset ... 59 kJ/mol of formula units

---

Here is Sr2LaIn after structural relaxation from Alexandria via LeMat-Bulk. Energies are from GGA-PBE.

Cell lengths 7.4268, 7.4268, 7.4268 Å; angles 147.75, 132.10, 58.93 degrees
Positions (direct):
In: 0.4940 0.4940 0.0000
La: 0.2970 0.7970 0.5000
Sr: 0.9994 0.9994 0.0000
Sr: 0.7095 0.2095 0.5000

## Properties
E_tot ... -11.588 eV per cell
Total magnetization ... 0.003 μB per formula unit
Fermi-level density of states ... 1.2230 states/eV/atom

---

Here is SrLaIn after structural relaxation from Alexandria via LeMat-Bulk. Energies are from GGA-PBE.

Cell lengths 5.4514, 5.4514, 5.4514 Å; angles 60.00, 60.00, 60.00 degrees
Positions (direct):
Sr: 0.7500 0.7500 0.7500
In: 0.2500 0.2500 0.2500
La: 0.5000 0.5000 0.5000

## Properties
Total magnetization ... 0.000 μB per formula unit
Fermi-level density of states ... 0.0926 states/eV/atom
Excess energy over the best structure of this formula in the dataset ... 160 kJ/mol of formula units

---

Here is Sr3LaIn after structural relaxation from Alexandria via LeMat-Bulk. Energies are from GGA-PBE.

Cell lengths 6.2117, 6.2117, 6.2117 Å; angles 90.00, 90.00, 90.00 degrees
Positions (direct):
Sr: 0.0000 0.5000 0.0000
Sr: 0.0000 0.0000 0.5000
Sr: 0.5000 0.0000 0.0000
In: 0.5000 0.5000 0.5000
La: 0.0000 0.0000 0.0000

## Properties
Total magnetization ... 0.004 μB per formula unit
Fermi-level density of states ... 1.2600 states/eV/atom
Excess energy over the best structure of this formula in the dataset ... 250 kJ/mol of formula units